[1]
ZnTc2As after structural relaxation. Source: the Alexandria database, functional PBE.

Lattice parameters (Å, degrees): 9.513 9.513 9.513 157.07 157.07 32.65
Fractional positions:
Zn1 0.000 0.000 0.000
Zn2 0.750 0.250 0.500
Tc1 0.080 0.625 0.955
Tc2 0.375 0.330 0.455
Tc3 0.670 0.125 0.045
Tc4 0.875 0.920 0.545
As1 0.250 0.750 0.500
As2 0.500 0.500 0.000

Values from the calculation:
total DFT energy (no corrections)	-6.269	eV/atom
offset from the most stable computed form	375.8	meV/atom
formation energy from the elements	395	meV per atom


[2]
ZnTc2As after structural relaxation. Source: the Alexandria database, functional PBE.

Lattice parameters (Å, degrees): 3.032 4.213 4.692 90.00 90.00 90.00
Fractional positions:
Zn1 0.000 0.000 0.000
Tc1 0.000 0.500 0.500
Tc2 0.500 0.500 0.000
As1 0.500 0.000 0.500

Values from the calculation:
total DFT energy (no corrections)	-6.357	eV/atom
offset from the most stable computed form	287.8	meV/atom
formation energy from the elements	307	meV per atom


[3]
ZnTcAs2 after structural relaxation. Source: the Alexandria database, functional PBE.

Lattice parameters (Å, degrees): 3.023 3.023 7.562 90.00 90.00 90.00
Fractional positions:
Zn1 0.000 0.000 0.000
Tc1 0.500 0.500 0.774
As1 0.000 0.000 0.596
As2 0.500 0.500 0.254

Values from the calculation:
total DFT energy (no corrections)	-5.091	eV/atom
formation energy from the elements	144	meV per atom


[4]
ZnTc3As after structural relaxation. Source: the Alexandria database, functional PBE.

Lattice parameters (Å, degrees): 4.539 4.539 4.539 90.00 90.00 90.00
Fractional positions:
Zn1 0.000 0.000 0.000
Tc1 0.000 0.500 0.500
Tc2 0.500 0.000 0.500
Tc3 0.500 0.500 0.000
As1 0.500 0.500 0.500

Values from the calculation:
total DFT energy (no corrections)	-6.318	eV/atom
offset from the most stable computed form	0.0	meV/atom
formation energy from the elements	1086	meV per atom


[5]
Zn3TcAs after structural relaxation. Source: the Alexandria database, functional PBE.

Lattice parameters (Å, degrees): 4.815 4.815 4.815 90.00 90.00 90.00
Fractional positions:
Zn1 0.000 0.000 0.500
Zn2 0.000 0.500 0.000
Zn3 0.500 0.000 0.000
Tc1 0.000 0.000 0.000
As1 0.500 0.500 0.500

Values from the calculation:
total DFT energy (no corrections)	-2.778	eV/atom
offset from the most stable computed form	0.0	meV/atom
formation energy from the elements	990	meV per atom


[6]
ZnTc2As after structural relaxation. Source: the Alexandria database, functional PBE.

Lattice parameters (Å, degrees): 4.806 4.806 4.442 106.64 106.64 36.53
Fractional positions:
Zn1 0.000 0.000 0.000
Tc1 0.496 0.496 0.499
Tc2 0.748 0.748 0.147
As1 0.240 0.240 0.655

Values from the calculation:
total DFT energy (no corrections)	-6.572	eV/atom
offset from the most stable computed form	72.0	meV/atom
formation energy from the elements	91	meV per atom